{"formula": "Mg3GaNi", "functional": "PBE", "state": "optimized geometry", "lattice_angstrom": [[4.8100, 0.0000, 0.0000], [0.0000, 4.8100, 0.0000], [0.0000, 0.0000, 4.8100]], "species": ["Mg", "Mg", "Mg", "Ga", "Ni"], "fractional_positions": [[0.0000, 0.0000, 0.5000], [0.0000, 0.5000, 0.0000], [0.5000, 0.0000, 0.0000], [0.5000, 0.5000, 0.5000], [0.0000, 0.0000, 0.0000]], "de_polymorph_mev_per_atom": 234, "m_tot_mub_per_cell": 0.000, "sg": "Pm-3m", "e_form_ev_per_fu": 0.61}

{"formula": "CuNi2W", "functional": "PBE", "state": "optimized geometry", "lattice_angstrom": [[2.6412, 0.0000, 0.0000], [0.0000, 3.5607, 0.0000], [0.0000, 0.0000, 5.2963]], "species": ["Cu", "Ni", "Ni", "W"], "fractional_positions": [[0.0000, 0.0000, 0.0000], [0.5000, 0.5000, 0.2445], [0.5000, 0.5000, 0.7555], [0.0000, 0.0000, 0.5000]], "de_polymorph_mev_per_atom": 49, "m_tot_mub_per_cell": 0.000, "sg": "Pmmm", "e_form_ev_per_fu": 0.24}

{"formula": "KIn2Ag", "functional": "PBE", "state": "optimized geometry", "lattice_angstrom": [[6.5554, -1.6227, 0.0000], [6.5554, 1.6227, 0.0000], [-2.5378, 0.0000, 5.2240]], "species": ["K", "In", "In", "Ag"], "fractional_positions": [[0.0000, 0.0000, 0.0000], [0.2089, 0.2089, 0.7090], [0.7911, 0.7911, 0.2910], [0.5000, 0.5000, 0.5000]], "m_tot_mub_per_cell": 0.000, "sg": "C2/m", "e_form_ev_per_fu": -0.04}

{"formula": "Sm2Y6ErTm3", "functional": "PBE", "state": "optimized geometry", "lattice_angstrom": [[3.0799, -5.3284, 0.0000], [3.0799, 5.3284, 0.0000], [-2.0448, 0.0000, 11.6023]], "species": ["Sm", "Sm", "Y", "Y", "Y", "Y", "Y", "Y", "Er", "Tm", "Tm", "Tm"], "fractional_positions": [[0.1667, 0.8333, 0.0000], [0.8333, 0.1667, 0.0000], [0.0826, 0.4153, 0.7474], [0.2520, 0.2520, 0.2528], [0.4153, 0.0826, 0.7474], [0.5847, 0.9174, 0.2526], [0.7480, 0.7480, 0.7472], [0.9174, 0.5847, 0.2526], [0.5000, 0.5000, 0.0000], [0.0000, 0.0000, 0.5000], [0.3336, 0.6664, 0.5000], [0.6664, 0.3336, 0.5000]], "m_tot_mub_per_cell": 0.000, "sg": "C2/m", "e_form_ev_per_fu": 0.29}

{"formula": "LiLa2Pa", "functional": "PBE", "state": "optimized geometry", "lattice_angstrom": [[5.7981, 0.0000, 0.0000], [0.0000, 5.7981, 0.0000], [0.0000, 0.0000, 3.3626]], "species": ["Li", "La", "La", "Pa"], "fractional_positions": [[0.0000, 0.0000, 0.0000], [0.0000, 0.5000, 0.5000], [0.5000, 0.0000, 0.5000], [0.5000, 0.5000, 0.0000]], "de_polymorph_mev_per_atom": 110, "m_tot_mub_per_cell": 0.001, "sg": "P4/mmm", "e_form_ev_per_fu": 0.93}

{"formula": "CePbSO2", "functional": "PBE", "state": "optimized geometry", "lattice_angstrom": [[6.6938, 0.0000, 0.0000], [0.0000, 4.0061, 0.0000], [-2.8114, 0.0000, 7.5710]], "species": ["Ce", "Ce", "Pb", "Pb", "S", "S", "O", "O", "O", "O"], "fractional_positions": [[0.1898, 0.2500, 0.4330], [0.8102, 0.7500, 0.5669], [0.2038, 0.2500, 0.9392], [0.7962, 0.7500, 0.0608], [0.4545, 0.7500, 0.6746], [0.5455, 0.2500, 0.3254], [0.0095, 0.7500, 0.3871], [0.0134, 0.2500, 0.1394], [0.9866, 0.7500, 0.8606], [0.9905, 0.2500, 0.6129]], "raw_formation_energy_ev_per_atom": -2.09, "m_tot_mub_per_cell": 0.000, "sg": "P2_1/m"}

{"formula": "NdTmSb", "functional": "PBE", "state": "optimized geometry", "lattice_angstrom": [[8.2113, -2.1236, 0.0000], [8.2113, 2.1236, 0.0000], [-0.1375, 0.0000, 10.9218]], "species": ["Nd", "Nd", "Nd", "Nd", "Tm", "Tm", "Tm", "Tm", "Sb", "Sb", "Sb", "Sb"], "fractional_positions": [[0.0338, 0.0338, 0.3624], [0.4002, 0.4002, 0.1418], [0.5998, 0.5998, 0.8582], [0.9662, 0.9662, 0.6376], [0.1957, 0.1957, 0.0839], [0.2438, 0.2438, 0.6616], [0.7562, 0.7562, 0.3384], [0.8043, 0.8043, 0.9161], [0.3781, 0.3781, 0.4449], [0.4122, 0.4122, 0.8294], [0.5878, 0.5878, 0.1706], [0.6219, 0.6219, 0.5551]], "raw_formation_energy_ev_per_atom": -0.60, "m_tot_mub_per_cell": 0.004, "sg": "C2/m"}

{"formula": "LiTlInHg6", "functional": "PBE", "state": "optimized geometry", "lattice_angstrom": [[-3.4962, 5.2137, 6.6525], [3.4962, -5.2137, 6.6525], [3.4962, 5.2137, -6.6525]], "species": ["Li", "Li", "Tl", "Tl", "In", "In", "Hg", "Hg", "Hg", "Hg", "Hg", "Hg", "Hg", "Hg", "Hg", "Hg", "Hg", "Hg"], "fractional_positions": [[0.0000, 0.0000, 0.0000], [0.5000, 0.0000, 0.5000], [0.4608, 0.2108, 0.2500], [0.5392, 0.7892, 0.7500], [0.0000, 0.0000, 0.5000], [0.0000, 0.5000, 0.0000], [0.1423, 0.4176, 0.2952], [0.1423, 0.8471, 0.7247], [0.2062, 0.9562, 0.2500], [0.2568, 0.5068, 0.7500], [0.3776, 0.1529, 0.7952], [0.3776, 0.5824, 0.2247], [0.6224, 0.4176, 0.7753], [0.6224, 0.8471, 0.2048], [0.7432, 0.4932, 0.2500], [0.7938, 0.0438, 0.7500], [0.8577, 0.1529, 0.2753], [0.8577, 0.5824, 0.7048]], "m_tot_mub_per_cell": 0.000, "sg": "Imma", "e_form_ev_per_fu": -0.29}

{"formula": "CrBAs3", "functional": "PBE", "state": "optimized geometry", "lattice_angstrom": [[4.6128, 0.0000, 0.0000], [0.0000, 4.6128, 0.0000], [0.0000, 0.0000, 4.6128]], "species": ["Cr", "B", "As", "As", "As"], "fractional_positions": [[0.0000, 0.0000, 0.0000], [0.5000, 0.5000, 0.5000], [0.0000, 0.0000, 0.5000], [0.0000, 0.5000, 0.0000], [0.5000, 0.0000, 0.0000]], "de_polymorph_mev_per_atom": 27, "m_tot_mub_per_cell": 0.291, "sg": "Pm-3m", "e_form_ev_per_fu": 5.85}

{"formula": "Rb4Pa3VSe8", "functional": "PBE", "state": "optimized geometry", "lattice_angstrom": [[4.1472, 2.3944, 8.1148], [-4.1472, 2.3944, 8.1148], [0.0000, -4.7888, 8.1148]], "species": ["Rb", "Rb", "Rb", "Rb", "Pa", "Pa", "Pa", "V", "Se", "Se", "Se", "Se", "Se", "Se", "Se", "Se"], "fractional_positions": [[0.0000, 0.0000, 0.0000], [0.0000, 0.5000, 0.5000], [0.5000, 0.0000, 0.5000], [0.5000, 0.5000, 0.0000], [0.0000, 0.0000, 0.5000], [0.0000, 0.5000, 0.0000], [0.5000, 0.0000, 0.0000], [0.5000, 0.5000, 0.5000], [0.2349, 0.2349, 0.2349], [0.2464, 0.7232, 0.7232], [0.2768, 0.2768, 0.7536], [0.2768, 0.7536, 0.2768], [0.7232, 0.2464, 0.7232], [0.7232, 0.7232, 0.2464], [0.7536, 0.2768, 0.2768], [0.7651, 0.7651, 0.7651]], "raw_formation_energy_ev_per_atom": -1.19, "m_tot_mub_per_cell": 8.012, "sg": "R-3m"}

{"formula": "Ti2AgW", "functional": "PBE", "state": "optimized geometry", "lattice_angstrom": [[3.2218, 0.0000, 0.0000], [0.0000, 3.2218, 0.0000], [0.0000, 0.0000, 6.4839]], "species": ["Ti", "Ti", "Ag", "W"], "fractional_positions": [[0.0000, 0.0000, 0.2253], [0.0000, 0.0000, 0.7747], [0.5000, 0.5000, 0.5000], [0.5000, 0.5000, 0.0000]], "de_polymorph_mev_per_atom": 0, "m_tot_mub_per_cell": 0.000, "sg": "P4/mmm", "e_form_ev_per_fu": -0.09}

{"formula": "CrCo2Rh", "functional": "PBE", "state": "optimized geometry", "lattice_angstrom": [[-1.3993, 2.0847, 4.1897], [1.3993, -2.0847, 4.1897], [1.3993, 2.0847, -4.1897]], "species": ["Cr", "Co", "Co", "Rh"], "fractional_positions": [[0.0000, 0.0000, 0.0000], [0.2329, 0.7329, 0.5000], [0.7671, 0.2671, 0.5000], [0.5000, 0.5000, 0.0000]], "m_tot_mub_per_cell": 4.567, "sg": "Immm", "e_form_ev_per_fu": 0.74}